HgWO4: optimized geometry, PBE with a Hubbard U.

Calculated values
Symmetry: C2/c (15)
Final energy, eV for the cell shown: -71.5
Density, g/cm³: 8.57

Cell: 6.585 6.585 5.272 Å, 69.10 69.10 56.20°
Positions (direct):
Hg (0.000, 0.500, 0.000)
Hg (0.500, 0.000, 0.500)
W (0.819, 0.181, 0.750)
W (0.181, 0.819, 0.250)
O (0.477, 0.757, 0.024)
O (0.243, 0.523, 0.476)
O (0.523, 0.243, 0.976)
O (0.757, 0.477, 0.524)
O (0.003, 0.188, 0.973)
O (0.812, 0.997, 0.527)
O (0.997, 0.812, 0.027)
O (0.188, 0.003, 0.473)